A plane-wave DFT calculation with meta-GGA SCAN was carried out for Tc2MoAu at its PBEsol-relaxed geometry.

Unit cell a=2.759 b=2.759 c=9.285 alpha=81.46 beta=81.46 gamma=60.00
Sites, in units of the cell vectors:
1 Au 0.500 0.500 0.500
2 Mo 0.000 0.000 0.000
3 Tc 0.254 0.254 0.238
4 Tc 0.746 0.746 0.762

calculated formation energy: 1.0 eV/f.u.
space-group type: R-3m (166)
DOS at the Fermi energy: 2.974 states/eV/f.u.